8
Lattice="7.387 0.000 0.000 0.000 4.261 0.000 -2.457 0.000 8.398" Properties=species:S:1:pos:R:3 comment="Cs2ErUSe4, optimized geometry, DFT GGA-PBE" rho_g_cm3=6.20 dos_at_fermi_per_ev_atom=0.967 dft_energy_ev_per_atom=-5.38 raw_formation_energy_ev_per_atom=-1.441 pbc="T T T"
Cs 0.000 0.000 0.000
Cs 3.694 2.130 0.000
Er -1.228 2.130 4.199
U 2.465 0.000 4.199
Se -0.027 0.000 5.753
Se 1.204 2.130 2.632
Se 3.727 2.130 5.766
Se 4.957 0.000 2.645

=====

6
Lattice="0.000 3.855 3.855 3.855 0.000 3.855 3.855 3.855 0.000" Properties=species:S:1:pos:R:3 comment="SrNdRu4, optimized geometry, DFT GGA-PBE" rho_g_cm3=9.22 dos_at_fermi_per_ev_atom=1.843 dft_energy_ev_per_atom=-7.14 delta_e_f_ev_per_atom=0.115 pbc="T T T"
Sr 0.000 0.000 0.000
Nd 5.783 5.783 5.783
Ru 2.893 2.893 2.893
Ru 4.817 4.817 2.893
Ru 4.817 2.893 4.817
Ru 2.893 4.817 4.817

=====

12
Lattice="8.063 -2.985 0.000 8.063 2.985 0.000 -4.162 0.000 8.406" Properties=species:S:1:pos:R:3 comment="TbPm7Ho4, optimized geometry, DFT GGA-PBE" polymorph_energy_ev_per_atom=0.214 rho_g_cm3=7.53 dos_at_fermi_per_ev_atom=1.598 dft_energy_ev_per_atom=-4.47 delta_e_f_ev_per_atom=0.217 pbc="T T T"
Tb 0.000 0.000 0.000
Pm -0.502 0.000 3.746
Pm 2.417 0.000 1.968
Pm -0.248 0.000 7.413
Pm 8.063 0.000 0.000
Pm 12.212 0.000 0.993
Pm 9.547 0.000 6.438
Pm 12.466 0.000 4.659
Ho 2.746 0.000 5.159
Ho 5.648 0.000 2.537
Ho 6.316 0.000 5.869
Ho 9.219 0.000 3.247

=====

4
Lattice="3.497 0.000 0.000 0.000 3.497 0.000 0.000 0.000 10.223" Properties=species:S:1:pos:R:3 comment="LaCe2Pm, optimized geometry, DFT GGA-PBE" polymorph_energy_ev_per_atom=0.000 rho_g_cm3=7.49 dos_at_fermi_per_ev_atom=2.749 dft_energy_ev_per_atom=-5.27 delta_e_f_ev_per_atom=0.113 pbc="T T T"
La 0.000 0.000 0.000
Ce 1.749 1.749 2.530
Ce 1.749 1.749 7.693
Pm 0.000 0.000 5.112